Record 1
Compound: NaLa3Dy2Te6
Source: Alexandria via LeMat-Bulk
Functional: PBE-GGA
Structure: relaxed

Lattice parameters (Å, degrees): 19.5827 4.4871 8.9979 90.00 102.86 90.00
Space group C2/m (No. 12)
Unique sites:
Na 0.0000 0.0000 0.0000 (multiplicity 2)
La 0.0000 0.0000 0.5000 (multiplicity 2)
La 0.1626 0.5000 0.8294 (multiplicity 4)
Dy 0.1680 0.5000 0.3411 (multiplicity 4)
Te 0.0064 0.5000 0.2455 (multiplicity 4)
Te 0.1666 0.0000 0.0958 (multiplicity 4)
Te 0.1694 0.0000 0.5768 (multiplicity 4)

The formation energy (no corrections) is -1.435 eV/atom. As for the spin magnetization: 0.000 μB/atom.

Record 2
Compound: NaLaDyTe3
Source: Alexandria via LeMat-Bulk
Functional: PBE-GGA
Structure: relaxed

Lattice parameters (Å, degrees): 8.8950 4.4515 9.9452 90.00 105.80 90.00
Space group P2_1/m (No. 11)
Unique sites:
Na 0.0945 0.2500 0.0855 (multiplicity 2)
La 0.2036 0.2500 0.7341 (multiplicity 2)
Dy 0.3283 0.7500 0.3438 (multiplicity 2)
Te 0.0909 0.2500 0.3803 (multiplicity 2)
Te 0.2699 0.7500 0.0006 (multiplicity 2)
Te 0.4387 0.7500 0.6661 (multiplicity 2)

The formation energy (no corrections) is -1.242 eV/atom. As for the spin magnetization: 0.000 μB/atom.

Record 3
Compound: Na3La2DyTe6
Source: Alexandria via LeMat-Bulk
Functional: PBE-GGA
Structure: relaxed

Lattice parameters (Å, degrees): 7.9223 13.7252 7.9828 90.00 109.37 90.00
Space group C2/m (No. 12)
Unique sites:
Na 0.0000 0.0000 0.0000 (multiplicity 2)
Na 0.0000 0.3310 0.0000 (multiplicity 4)
La 0.0000 0.1663 0.5000 (multiplicity 4)
Dy 0.0000 0.5000 0.5000 (multiplicity 2)
Te 0.2406 0.3387 0.7383 (multiplicity 8)
Te 0.2426 0.5000 0.2623 (multiplicity 4)

The formation energy (no corrections) is -1.374 eV/atom. As for the spin magnetization: 0.000 μB/atom.

- The highest formation energy (no corrections) belongs to which entry?
  NaLaDyTe3

- Number 1 is which compound?
  NaLa3Dy2Te6

- formation energy (no corrections) of number 2 (NaLaDyTe3)?
  -1.242 eV/atom

- Look up the spin magnetization of the first one.
  0.000 μB/atom